# 1
! PBE-GGA Ti2ZnPd3, relaxed; values from VASP
! N(E_F) in states/eV per cell: 9.47
! VASP energy in eV per atom: -5.8637
&SYSTEM
  ibrav = 0, nat = 12, ntyp = 3
/
ATOMIC_SPECIES
Ti 47.87 Ti.upf
Pd 106.42 Pd.upf
Zn 65.41 Zn.upf
CELL_PARAMETERS angstrom
5.276 0.000 0.000
0.000 5.505 -0.001
-2.638 -1.380 6.471
ATOMIC_POSITIONS crystal
Ti 0.331 0.917 0.667
Ti 0.336 0.417 0.667
Ti 0.664 0.583 0.333
Ti 0.669 0.083 0.333
Pd 0.158 0.079 0.312
Pd 0.154 0.579 0.312
Pd 0.291 0.750 0.000
Pd 0.842 0.921 0.688
Pd 0.709 0.250 0.000
Pd 0.846 0.421 0.688
Zn 0.217 0.250 0.000
Zn 0.783 0.750 0.000


# 2
! PBE-GGA Ti3Zn2Pd4, relaxed; values from VASP
! N(E_F) in states/eV per cell: 5.18
! VASP energy in eV per atom: -5.7302
&SYSTEM
  ibrav = 0, nat = 9, ntyp = 3
/
ATOMIC_SPECIES
Pd 106.42 Pd.upf
Ti 47.87 Ti.upf
Zn 65.41 Zn.upf
CELL_PARAMETERS angstrom
-2.260 2.265 0.163
-0.716 -1.203 6.780
5.762 3.562 -1.103
ATOMIC_POSITIONS crystal
Pd 0.799 0.683 0.599
Pd 0.484 0.689 0.968
Pd 0.516 0.311 0.032
Pd 0.201 0.317 0.401
Ti 0.000 0.000 0.000
Ti 0.868 0.360 0.736
Ti 0.132 0.640 0.264
Zn 0.672 0.999 0.344
Zn 0.328 0.001 0.656